# 1
CsSi2F PBE-GGA optimized geometry; energy = -10.6 eV/f.u.; calculated density = 3.56 g/cm³; total magnetization = 0.0 μB per formula unit; calculated volume = 97.0 Å³ per cell
1.0
0.000 3.647 3.647
3.647 0.000 3.647
3.647 3.647 0.000
Cs Si F
1 2 1
direct
0.000 0.000 0.000
0.250 0.250 0.250
0.750 0.750 0.750
0.500 0.500 0.500


# 2
TlPPb4 PBE-GGA optimized geometry; calculated formation energy = 430 meV per atom; calculated density = 9.35 g/cm³; total magnetization = 0.0 μB per formula unit; calculated volume = 188.9 Å³ per cell
1.0
0.000 4.554 4.554
4.554 0.000 4.554
4.554 4.554 0.000
Tl P Pb
1 1 4
direct
0.000 0.000 0.000
0.750 0.750 0.750
0.375 0.375 0.375
0.375 0.375 0.875
0.375 0.875 0.375
0.875 0.375 0.375